## Na4Zr3UTe8 (GGA-PBE)

Data for Na4Zr3UTe8 after structural relaxation.

```
data_Na4Zr3UTe8
_cell_length_a 8.306
_cell_length_b 9.194
_cell_length_c 8.307
_cell_angle_alpha 116.87
_cell_angle_beta 119.99
_cell_angle_gamma 90.00
_symmetry_space_group_name_H-M 'P 1'
_symmetry_Int_Tables_number 1
loop_
_symmetry_equiv_pos_as_xyz
'x,y,z'
loop_
_atom_site_label
_atom_site_fract_x
_atom_site_fract_y
_atom_site_fract_z
_atom_site_occupancy
Na1 0.000 0.000 0.500 1
Na2 0.500 0.000 0.500 1
Na3 0.500 0.000 0.000 1
Na4 0.000 0.000 0.000 1
Te1 0.258 0.275 0.517 1
Te2 0.742 0.725 0.483 1
Te3 0.732 0.730 0.981 1
Te4 0.751 0.270 0.019 1
Te5 0.751 0.270 0.502 1
Te6 0.249 0.730 0.498 1
Te7 0.268 0.270 0.019 1
Te8 0.249 0.730 0.981 1
Zr1 0.500 0.500 0.500 1
Zr2 0.500 0.500 0.000 1
Zr3 0.000 0.500 0.500 1
U1 0.000 0.500 0.000 1
```

* volume: 29.291 A^3/atom
* VASP energy: -5.078 eV per atom
* mass density: 5.8 g/cm³
* magnetic moment: 0.20 μB per atom
* ΔE_f (raw): -870 meV/atom
* space-group type: R-3m (166)


## Ti6C2N3O (GGA-PBE)

Data for Ti6C2N3O after structural relaxation.

```
data_Ti6C2N3O
_cell_length_a 5.260
_cell_length_b 5.260
_cell_length_c 5.258
_cell_angle_alpha 99.73
_cell_angle_beta 99.73
_cell_angle_gamma 119.89
_symmetry_space_group_name_H-M 'P 1'
_symmetry_Int_Tables_number 1
loop_
_symmetry_equiv_pos_as_xyz
'x,y,z'
loop_
_atom_site_label
_atom_site_fract_x
_atom_site_fract_y
_atom_site_fract_z
_atom_site_occupancy
C1 0.334 0.666 0.000 1
C2 0.666 0.334 0.000 1
Ti1 0.265 0.265 0.738 1
Ti2 0.917 0.567 0.752 1
Ti3 0.433 0.083 0.248 1
Ti4 0.735 0.735 0.262 1
Ti5 0.567 0.917 0.752 1
Ti6 0.083 0.433 0.248 1
O1 0.000 0.000 0.000 1
N1 0.500 0.500 0.500 1
N2 0.167 0.833 0.500 1
N3 0.833 0.167 0.500 1
```

* volume: 9.895 A^3/atom
* VASP energy: -9.587 eV per atom
* mass density: 5.2 g/cm³
* magnetic moment: 0.00 μB per atom
* ΔE_f (raw): -1608 meV/atom
* space-group type: C2/m (12)


## LiTcGe (GGA-PBE)

Data for LiTcGe after structural relaxation.

```
data_LiTcGe
_cell_length_a 4.223
_cell_length_b 4.223
_cell_length_c 5.164
_cell_angle_alpha 90.00
_cell_angle_beta 90.00
_cell_angle_gamma 120.00
_symmetry_space_group_name_H-M 'P 1'
_symmetry_Int_Tables_number 1
loop_
_symmetry_equiv_pos_as_xyz
'x,y,z'
loop_
_atom_site_label
_atom_site_fract_x
_atom_site_fract_y
_atom_site_fract_z
_atom_site_occupancy
Tc1 0.000 0.000 0.500 1
Tc2 0.000 0.000 0.000 1
Ge1 0.333 0.667 0.750 1
Ge2 0.667 0.333 0.250 1
Li1 0.333 0.667 0.250 1
Li2 0.667 0.333 0.750 1
```

* volume: 13.290 A^3/atom
* calculated formation energy: -17.14 kJ per mole of atoms
* VASP energy: -5.810 eV per atom
* mass density: 7.4 g/cm³
* magnetic moment: 0.00 μB per atom
* E above lowest polymorph: 30 meV/atom
* space-group type: P6_3/mmc (194)


## HfNb2Br (GGA-PBE)

Data for HfNb2Br after structural relaxation.

```
data_HfNb2Br
_cell_length_a 3.974
_cell_length_b 3.974
_cell_length_c 10.705
_cell_angle_alpha 79.30
_cell_angle_beta 79.30
_cell_angle_gamma 90.00
_symmetry_space_group_name_H-M 'P 1'
_symmetry_Int_Tables_number 1
loop_
_symmetry_equiv_pos_as_xyz
'x,y,z'
loop_
_atom_site_label
_atom_site_fract_x
_atom_site_fract_y
_atom_site_fract_z
_atom_site_occupancy
Br1 0.250 0.750 0.500 1
Br2 0.500 0.500 0.000 1
Nb1 0.626 0.125 0.250 1
Nb2 0.375 0.374 0.750 1
Nb3 0.124 0.625 0.250 1
Nb4 0.875 0.876 0.750 1
Hf1 0.000 0.000 0.000 1
Hf2 0.750 0.250 0.500 1
```

* volume: 20.391 A^3/atom
* VASP energy: -7.368 eV per atom
* mass density: 9.0 g/cm³
* magnetic moment: 0.00 μB per atom
* ΔE_f (raw): 573 meV/atom
* E above lowest polymorph: 0 meV/atom
* space-group type: I-42d (122)


## Re2TcHRu (GGA-PBE)

Data for Re2TcHRu after structural relaxation.

```
data_Re2TcHRu
_cell_length_a 3.934
_cell_length_b 3.934
_cell_length_c 3.912
_cell_angle_alpha 90.00
_cell_angle_beta 90.00
_cell_angle_gamma 90.00
_symmetry_space_group_name_H-M 'P 1'
_symmetry_Int_Tables_number 1
loop_
_symmetry_equiv_pos_as_xyz
'x,y,z'
loop_
_atom_site_label
_atom_site_fract_x
_atom_site_fract_y
_atom_site_fract_z
_atom_site_occupancy
Tc1 0.000 0.000 0.500 1
Re1 0.500 0.000 0.000 1
Re2 0.000 0.500 0.000 1
Ru1 0.500 0.500 0.500 1
H1 0.000 0.000 0.000 1
```

* volume: 12.111 A^3/atom
* VASP energy: -9.464 eV per atom
* mass density: 15.7 g/cm³
* magnetic moment: 0.00 μB per atom
* E above lowest polymorph: 10 meV/atom
* space-group type: P4/mmm (123)


## Li7La3Zr2O12 (GGA-PBE)

Data for Li7La3Zr2O12 after structural relaxation.

```
data_Li7La3Zr2O12
_cell_length_a 11.302
_cell_length_b 11.302
_cell_length_c 11.302
_cell_angle_alpha 108.34
_cell_angle_beta 108.34
_cell_angle_gamma 111.76
_symmetry_space_group_name_H-M 'P 1'
_symmetry_Int_Tables_number 1
loop_
_symmetry_equiv_pos_as_xyz
'x,y,z'
loop_
_atom_site_label
_atom_site_fract_x
_atom_site_fract_y
_atom_site_fract_z
_atom_site_occupancy
Li1 0.070 0.070 0.640 1
Li2 0.320 0.180 0.500 1
Li3 0.930 0.570 0.000 1
Li4 0.850 0.094 0.083 1
Li5 0.570 0.930 0.000 1
Li6 0.732 0.488 0.083 1
Li7 0.350 0.268 0.756 1
Li8 0.238 0.982 0.583 1
Li9 0.012 0.768 0.917 1
Li10 0.400 0.656 0.417 1
Li11 0.430 0.430 0.360 1
Li12 0.750 0.250 0.500 1
Li13 0.820 0.320 0.140 1
Li14 0.406 0.650 0.917 1
Li15 0.250 0.750 0.500 1
Li16 0.000 0.000 0.000 1
Li17 0.018 0.600 0.256 1
Li18 0.844 0.100 0.583 1
Li19 0.900 0.482 0.744 1
Li20 0.512 0.594 0.244 1
Li21 0.518 0.262 0.417 1
Li22 0.344 0.762 0.744 1
Li23 0.180 0.680 0.860 1
Li24 0.680 0.820 0.500 1
Li25 0.906 0.988 0.756 1
Li26 0.232 0.150 0.244 1
Li27 0.500 0.500 0.000 1
Li28 0.738 0.156 0.256 1
O1 0.915 0.687 0.160 1
O2 0.036 0.193 0.048 1
O3 0.206 0.278 0.626 1
O4 0.745 0.973 0.160 1
O5 0.645 0.693 0.157 1
O6 0.807 0.855 0.843 1
O7 0.105 0.762 0.548 1
O8 0.512 0.355 0.048 1
O9 0.536 0.488 0.843 1
O10 0.415 0.255 0.229 1
O11 0.044 0.472 0.874 1
O12 0.835 0.495 0.271 1
O13 0.027 0.187 0.771 1
O14 0.937 0.277 0.271 1
O15 0.145 0.988 0.952 1
O16 0.443 0.895 0.657 1
O17 0.544 0.670 0.572 1
O18 0.214 0.557 0.452 1
O19 0.005 0.665 0.729 1
O20 0.222 0.294 0.374 1
O21 0.527 0.755 0.840 1
O22 0.420 0.794 0.072 1
O23 0.028 0.456 0.126 1
O24 0.505 0.777 0.340 1
O25 0.830 0.956 0.428 1
O26 0.307 0.464 0.952 1
O27 0.313 0.473 0.229 1
O28 0.706 0.080 0.928 1
O29 0.738 0.395 0.452 1
O30 0.714 0.262 0.657 1
O31 0.723 0.995 0.660 1
O32 0.245 0.085 0.771 1
O33 0.330 0.902 0.874 1
O34 0.098 0.972 0.428 1
O35 0.813 0.585 0.840 1
O36 0.598 0.170 0.126 1
O37 0.528 0.402 0.572 1
O38 0.012 0.964 0.157 1
O39 0.238 0.786 0.343 1
O40 0.152 0.778 0.072 1
O41 0.943 0.286 0.548 1
O42 0.722 0.348 0.928 1
O43 0.652 0.580 0.374 1
O44 0.335 0.063 0.340 1
O45 0.920 0.848 0.626 1
O46 0.223 0.563 0.729 1
O47 0.605 0.057 0.343 1
O48 0.437 0.165 0.660 1
La1 0.375 0.497 0.622 1
La2 0.750 0.750 0.000 1
La3 0.503 0.125 0.878 1
La4 0.375 0.997 0.122 1
La5 0.250 0.250 0.000 1
La6 0.003 0.125 0.378 1
La7 0.875 0.753 0.378 1
La8 0.875 0.253 0.878 1
La9 0.500 0.000 0.500 1
La10 0.247 0.625 0.122 1
La11 0.747 0.625 0.622 1
La12 0.000 0.500 0.500 1
Zr1 0.125 0.875 0.750 1
Zr2 0.625 0.875 0.750 1
Zr3 0.625 0.875 0.250 1
Zr4 0.125 0.875 0.250 1
Zr5 0.125 0.375 0.250 1
Zr6 0.625 0.375 0.750 1
Zr7 0.125 0.375 0.750 1
Zr8 0.625 0.375 0.250 1
```

* volume: 11.562 A^3/atom
* VASP energy: -7.139 eV per atom
* mass density: 5.0 g/cm³
* magnetic moment: 0.00 μB per atom
* ΔE_f (raw): -2774 meV/atom
* space-group type: I4_1/acd (142)


## PmTiIn (GGA-PBE)

Data for PmTiIn after structural relaxation.

```
data_PmTiIn
_cell_length_a 3.312
_cell_length_b 5.782
_cell_length_c 7.920
_cell_angle_alpha 96.91
_cell_angle_beta 90.08
_cell_angle_gamma 89.85
_symmetry_space_group_name_H-M 'P 1'
_symmetry_Int_Tables_number 1
loop_
_symmetry_equiv_pos_as_xyz
'x,y,z'
loop_
_atom_site_label
_atom_site_fract_x
_atom_site_fract_y
_atom_site_fract_z
_atom_site_occupancy
Pm1 0.250 0.118 0.187 1
Pm2 0.750 0.882 0.813 1
In1 0.249 0.708 0.451 1
In2 0.751 0.292 0.549 1
Ti1 0.749 0.586 0.136 1
Ti2 0.251 0.414 0.864 1
```

* volume: 25.095 A^3/atom
* calculated formation energy: 1.26 kJ per mole of atoms
* VASP energy: -5.115 eV per atom
* mass density: 6.8 g/cm³
* magnetic moment: 0.00 μB per atom
* space-group type: P-1 (2)


## Na4Tm3ScSe8 (GGA-PBE)

Data for Na4Tm3ScSe8 after structural relaxation.

```
data_Na4Tm3ScSe8
_cell_length_a 8.117
_cell_length_b 8.419
_cell_length_c 8.118
_cell_angle_alpha 118.86
_cell_angle_beta 120.00
_cell_angle_gamma 90.00
_symmetry_space_group_name_H-M 'P 1'
_symmetry_Int_Tables_number 1
loop_
_symmetry_equiv_pos_as_xyz
'x,y,z'
loop_
_atom_site_label
_atom_site_fract_x
_atom_site_fract_y
_atom_site_fract_z
_atom_site_occupancy
Se1 0.251 0.277 0.014 1
Se2 0.763 0.277 0.525 1
Se3 0.763 0.277 0.014 1
Se4 0.749 0.723 0.986 1
Se5 0.237 0.723 0.986 1
Se6 0.743 0.728 0.486 1
Se7 0.257 0.272 0.514 1
Se8 0.237 0.723 0.475 1
Tm1 0.500 0.500 0.000 1
Tm2 0.500 0.500 0.500 1
Tm3 0.000 0.500 0.500 1
Na1 0.000 0.000 0.000 1
Na2 0.000 0.000 0.500 1
Na3 0.500 0.000 0.000 1
Na4 0.500 0.000 0.500 1
Sc1 0.000 0.500 0.000 1
```

* volume: 24.936 A^3/atom
* VASP energy: -4.974 eV per atom
* mass density: 5.3 g/cm³
* magnetic moment: 0.00 μB per atom
* ΔE_f (raw): -1668 meV/atom
* space-group type: R-3m (166)


## La3InO (GGA-PBE)

Data for La3InO after structural relaxation.

```
data_La3InO
_cell_length_a 7.005
_cell_length_b 7.252
_cell_length_c 6.786
_cell_angle_alpha 117.03
_cell_angle_beta 80.95
_cell_angle_gamma 88.55
_symmetry_space_group_name_H-M 'P 1'
_symmetry_Int_Tables_number 1
loop_
_symmetry_equiv_pos_as_xyz
'x,y,z'
loop_
_atom_site_label
_atom_site_fract_x
_atom_site_fract_y
_atom_site_fract_z
_atom_site_occupancy
La1 0.864 0.726 0.441 1
La2 0.574 0.918 0.103 1
La3 0.334 0.051 0.701 1
La4 0.016 0.167 0.295 1
La5 0.418 0.473 0.241 1
La6 0.097 0.600 0.847 1
In1 0.592 0.424 0.669 1
In2 0.843 0.209 0.871 1
O1 0.115 0.529 0.475 1
O2 0.877 0.846 0.174 1
```

* volume: 30.141 A^3/atom
* VASP energy: -5.809 eV per atom
* mass density: 6.0 g/cm³
* magnetic moment: 0.00 μB per atom
* ΔE_f (raw): -1313 meV/atom
* space-group type: P1 (1)


## KMg3O4 (GGA-PBE)

Data for KMg3O4 after structural relaxation.

```
data_KMg3O4
_cell_length_a 4.543
_cell_length_b 4.543
_cell_length_c 4.543
_cell_angle_alpha 90.00
_cell_angle_beta 90.00
_cell_angle_gamma 90.00
_symmetry_space_group_name_H-M 'P 1'
_symmetry_Int_Tables_number 1
loop_
_symmetry_equiv_pos_as_xyz
'x,y,z'
loop_
_atom_site_label
_atom_site_fract_x
_atom_site_fract_y
_atom_site_fract_z
_atom_site_occupancy
Mg1 0.500 0.500 0.000 1
Mg2 0.000 0.500 0.500 1
Mg3 0.500 0.000 0.500 1
O1 0.000 0.500 0.000 1
O2 0.500 0.000 0.000 1
O3 0.500 0.500 0.500 1
O4 0.000 0.000 0.500 1
K1 0.000 0.000 0.000 1
```

* volume: 11.722 A^3/atom
* VASP energy: -5.005 eV per atom
* mass density: 3.1 g/cm³
* magnetic moment: 0.13 μB per atom
* ΔE_f (raw): -1790 meV/atom
* space-group type: Pm-3m (221)


## Tb3PrNd6Ho2 (GGA-PBE)

Data for Tb3PrNd6Ho2 after structural relaxation.

```
data_Tb3PrNd6Ho2
_cell_length_a 6.295
_cell_length_b 6.295
_cell_length_c 11.965
_cell_angle_alpha 95.02
_cell_angle_beta 95.02
_cell_angle_gamma 119.99
_symmetry_space_group_name_H-M 'P 1'
_symmetry_Int_Tables_number 1
loop_
_symmetry_equiv_pos_as_xyz
'x,y,z'
loop_
_atom_site_label
_atom_site_fract_x
_atom_site_fract_y
_atom_site_fract_z
_atom_site_occupancy
Nd1 0.750 0.750 0.251 1
Nd2 0.250 0.250 0.749 1
Nd3 0.419 0.084 0.251 1
Nd4 0.916 0.581 0.749 1
Nd5 0.581 0.916 0.749 1
Nd6 0.084 0.419 0.251 1
Tb1 0.500 0.500 0.500 1
Tb2 0.167 0.833 0.500 1
Tb3 0.833 0.167 0.500 1
Pr1 0.000 0.000 0.000 1
Ho1 0.333 0.667 0.000 1
Ho2 0.667 0.333 0.000 1
```

* volume: 33.690 A^3/atom
* calculated formation energy: 1.25 kJ per mole of atoms
* VASP energy: -4.690 eV per atom
* mass density: 7.4 g/cm³
* magnetic moment: 0.00 μB per atom
* space-group type: C2/m (12)


## CoPAu (GGA-PBE)

Data for CoPAu after structural relaxation.

```
data_CoPAu
_cell_length_a 4.000
_cell_length_b 4.000
_cell_length_c 4.000
_cell_angle_alpha 60.00
_cell_angle_beta 60.00
_cell_angle_gamma 60.00
_symmetry_space_group_name_H-M 'P 1'
_symmetry_Int_Tables_number 1
loop_
_symmetry_equiv_pos_as_xyz
'x,y,z'
loop_
_atom_site_label
_atom_site_fract_x
_atom_site_fract_y
_atom_site_fract_z
_atom_site_occupancy
Co1 0.500 0.500 0.500 1
Au1 0.000 0.000 0.000 1
P1 0.750 0.750 0.750 1
```

* volume: 15.086 A^3/atom
* calculated formation energy: 12.14 kJ per mole of atoms
* VASP energy: -5.139 eV per atom
* mass density: 10.5 g/cm³
* magnetic moment: 0.40 μB per atom
* space-group type: F-43m (216)


Look up the magnetic moment of the sixth one. 0.00 μB per atom


Which of these has the lowest mass density? KMg3O4